The following is a DFT calculation (PBE) of an optimized crystal structure of Zn2IrRu.

Properties
Magnetization in Bohr magnetons per cell: 0.00
Total DFT energy (no corrections) in hartree per atom: -0.1924
Formation enthalpy at 0 K in eV per atom: -0.064
Excess energy over the best structure of this formula in the dataset in meV per atom: 0

CIF file:
```
data_Zn2IrRu
_chemical_formula_sum 'Zn2 Ir1 Ru1'
_cell_length_a 2.752
_cell_length_b 2.752
_cell_length_c 7.644
_cell_angle_alpha 90.00
_cell_angle_beta 90.00
_cell_angle_gamma 90.00
_symmetry_space_group_name_H-M 'P 4 m m'
_symmetry_Int_Tables_number 99
_symmetry_space_group_name_Hall 'P 4 -2'
loop_
_atom_site_label
_atom_site_type_symbol
_atom_site_fract_x
_atom_site_fract_y
_atom_site_fract_z
Zn1 Zn 0.000 0.000 0.000
Zn2 Zn 0.500 0.500 0.269
Ir1 Ir 0.000 0.000 0.520
Ru1 Ru 0.500 0.500 0.751
```


The following is a DFT calculation (PBE) of an optimized crystal structure of CaSi6Ni12.

Properties
Magnetization in Bohr magnetons per cell: 0.00
Formation energy from raw total energies in eV per formula unit: -8.89
Total DFT energy (no corrections) in hartree per atom: -0.2182

CIF file:
```
data_CaSi6Ni12
_chemical_formula_sum 'Ca3 Si18 Ni36'
_cell_length_a 10.4375
_cell_length_b 10.4375
_cell_length_c 7.7728
_cell_angle_alpha 90.00
_cell_angle_beta 90.00
_cell_angle_gamma 120.00
_symmetry_space_group_name_H-M 'R -3 m'
_symmetry_Int_Tables_number 166
_symmetry_space_group_name_Hall '-R 3 2"'
loop_
_atom_site_label
_atom_site_type_symbol
_atom_site_fract_x
_atom_site_fract_y
_atom_site_fract_z
Ca1 Ca 0.0000 0.0000 0.0000
Si1 Si 0.0378 0.5189 0.2666
Ni1 Ni 0.0000 0.3767 0.5000
Ni2 Ni 0.0883 0.1766 0.3432
```


The following is a DFT calculation (PBE) of an optimized crystal structure of LaMnTl2.

Properties
Magnetization in Bohr magnetons per cell: 10.85
Total DFT energy (no corrections) in hartree per atom: -0.1662
Formation enthalpy at 0 K in eV per atom: 0.186

CIF file:
```
data_LaMnTl2
_chemical_formula_sum 'La3 Mn3 Tl6'
_cell_length_a 3.5282
_cell_length_b 3.5282
_cell_length_c 29.7029
_cell_angle_alpha 90.00
_cell_angle_beta 90.00
_cell_angle_gamma 120.00
_symmetry_space_group_name_H-M 'R -3 m'
_symmetry_Int_Tables_number 166
_symmetry_space_group_name_Hall '-R 3 2"'
loop_
_atom_site_label
_atom_site_type_symbol
_atom_site_fract_x
_atom_site_fract_y
_atom_site_fract_z
La1 La 0.0000 0.0000 0.0000
Mn1 Mn 0.0000 0.0000 0.5000
Tl1 Tl 0.0000 0.0000 0.2389
```


The following is a DFT calculation (PBE) of an optimized crystal structure of Eu2MgHg.

Properties
Magnetization in Bohr magnetons per cell: 14.41
Total DFT energy (no corrections) in hartree per atom: -0.2181
Formation enthalpy at 0 K in eV per atom: -0.324
Excess energy over the best structure of this formula in the dataset in meV per atom: 0

CIF file:
```
data_Eu2MgHg
_chemical_formula_sum 'Eu2 Mg1 Hg1'
_cell_length_a 3.935
_cell_length_b 3.935
_cell_length_c 7.970
_cell_angle_alpha 90.00
_cell_angle_beta 90.00
_cell_angle_gamma 90.00
_symmetry_space_group_name_H-M 'P 4/m m m'
_symmetry_Int_Tables_number 123
_symmetry_space_group_name_Hall '-P 4 2'
loop_
_atom_site_label
_atom_site_type_symbol
_atom_site_fract_x
_atom_site_fract_y
_atom_site_fract_z
Eu1 Eu 0.000 0.000 0.236
Mg1 Mg 0.500 0.500 0.500
Hg1 Hg 0.500 0.500 0.000
```


The following is a DFT calculation (PBE) of an optimized crystal structure of BaLi4Hg8.

Properties
Magnetization in Bohr magnetons per cell: 0.00
Total DFT energy (no corrections) in hartree per atom: -0.0455
Formation enthalpy at 0 K in eV per atom: -0.316

CIF file:
```
data_BaLi4Hg8
_chemical_formula_sum 'Ba2 Li8 Hg16'
_cell_length_a 10.238
_cell_length_b 10.238
_cell_length_c 5.697
_cell_angle_alpha 90.00
_cell_angle_beta 90.00
_cell_angle_gamma 90.00
_symmetry_space_group_name_H-M 'I 4/m m m'
_symmetry_Int_Tables_number 139
_symmetry_space_group_name_Hall '-I 4 2'
loop_
_atom_site_label
_atom_site_type_symbol
_atom_site_fract_x
_atom_site_fract_y
_atom_site_fract_z
Ba1 Ba 0.000 0.000 0.000
Li1 Li 0.250 0.250 0.250
Hg1 Hg 0.000 0.220 0.500
Hg2 Hg 0.000 0.346 0.000
```


The following is a DFT calculation (PBE) of an optimized crystal structure of Rb8Hg2Au.

Properties
Magnetization in Bohr magnetons per cell: 0.00
Total DFT energy (no corrections) in hartree per atom: -0.0421
Formation enthalpy at 0 K in eV per atom: -0.089
Excess energy over the best structure of this formula in the dataset in meV per atom: 43

CIF file:
```
data_Rb8Hg2Au
_chemical_formula_sum 'Rb16 Hg4 Au2'
_cell_length_a 6.007
_cell_length_b 10.935
_cell_length_c 18.637
_cell_angle_alpha 90.00
_cell_angle_beta 90.00
_cell_angle_gamma 90.00
_symmetry_space_group_name_H-M 'I m m m'
_symmetry_Int_Tables_number 71
_symmetry_space_group_name_Hall '-I 2 2'
loop_
_atom_site_label
_atom_site_type_symbol
_atom_site_fract_x
_atom_site_fract_y
_atom_site_fract_z
Rb1 Rb 0.000 0.000 0.125
Rb2 Rb 0.000 0.219 0.337
Rb3 Rb 0.000 0.320 0.000
Hg1 Hg 0.000 0.500 0.192
Au1 Au 0.000 0.500 0.500
```


The following is a DFT calculation (PBE) of an optimized crystal structure of CdIn2AgTe4.

Properties
Magnetization in Bohr magnetons per cell: 0.00
Formation energy from raw total energies in eV per formula unit: -2.28
Total DFT energy (no corrections) in hartree per atom: -0.1106

CIF file:
```
data_CdIn2AgTe4
_chemical_formula_sum 'Cd4 In8 Ag4 Te16'
_cell_length_a 9.361
_cell_length_b 9.808
_cell_length_c 12.882
_cell_angle_alpha 90.00
_cell_angle_beta 90.00
_cell_angle_gamma 90.00
_symmetry_space_group_name_H-M 'F m m 2'
_symmetry_Int_Tables_number 42
_symmetry_space_group_name_Hall 'F 2 -2'
loop_
_atom_site_label
_atom_site_type_symbol
_atom_site_fract_x
_atom_site_fract_y
_atom_site_fract_z
Cd1 Cd 0.000 0.000 0.000
In1 In 0.250 0.250 0.253
Ag1 Ag 0.000 0.000 0.501
Te1 Te 0.000 0.247 0.616
Te2 Te 0.246 0.000 0.374
```


The following is a DFT calculation (PBE) of an optimized crystal structure of Dy3Pu3ScSe8.

Properties
Magnetization in Bohr magnetons per cell: 51.55
Formation energy from raw total energies in eV per formula unit: -25.90
Total DFT energy (no corrections) in hartree per atom: -0.2864

CIF file:
```
data_Dy3Pu3ScSe8
_chemical_formula_sum 'Dy9 Pu9 Sc3 Se24'
_cell_length_a 8.1527
_cell_length_b 8.1527
_cell_length_c 20.1795
_cell_angle_alpha 90.00
_cell_angle_beta 90.00
_cell_angle_gamma 120.00
_symmetry_space_group_name_H-M 'R -3 m'
_symmetry_Int_Tables_number 166
_symmetry_space_group_name_Hall '-R 3 2"'
loop_
_atom_site_label
_atom_site_type_symbol
_atom_site_fract_x
_atom_site_fract_y
_atom_site_fract_z
Dy1 Dy 0.0000 0.5000 0.0000
Pu1 Pu 0.0000 0.5000 0.5000
Sc1 Sc 0.0000 0.0000 0.0000
Se1 Se 0.0000 0.0000 0.2515
Se2 Se 0.0069 0.5035 0.7462
```


The following is a DFT calculation (PBE) of an optimized crystal structure of CaOs2Rh.

Properties
Magnetization in Bohr magnetons per cell: 0.00
Total DFT energy (no corrections) in hartree per atom: -0.2805
Formation enthalpy at 0 K in eV per atom: 0.321
Excess energy over the best structure of this formula in the dataset in meV per atom: 104

CIF file:
```
data_CaOs2Rh
_chemical_formula_sum 'Ca2 Os4 Rh2'
_cell_length_a 9.264
_cell_length_b 2.793
_cell_length_c 5.341
_cell_angle_alpha 90.00
_cell_angle_beta 100.09
_cell_angle_gamma 90.00
_symmetry_space_group_name_H-M 'C 1 m 1'
_symmetry_Int_Tables_number 8
_symmetry_space_group_name_Hall 'C -2y'
loop_
_atom_site_label
_atom_site_type_symbol
_atom_site_fract_x
_atom_site_fract_y
_atom_site_fract_z
Ca1 Ca 0.000 0.000 0.000
Os1 Os 0.233 0.000 0.647
Os2 Os 0.495 0.000 0.512
Rh1 Rh 0.261 0.500 0.242
```


The following is a DFT calculation (PBE) of an optimized crystal structure of SrMoSe2.

Properties
Magnetization in Bohr magnetons per cell: 0.00
Formation energy from raw total energies in eV per formula unit: -2.10
Total DFT energy (no corrections) in hartree per atom: -0.1983
Excess energy over the best structure of this formula in the dataset in meV per atom: 258

CIF file:
```
data_SrMoSe2
_chemical_formula_sum 'Sr4 Mo4 Se8'
_cell_length_a 6.019
_cell_length_b 6.019
_cell_length_c 13.344
_cell_angle_alpha 90.00
_cell_angle_beta 90.00
_cell_angle_gamma 90.00
_symmetry_space_group_name_H-M 'I -4 2 d'
_symmetry_Int_Tables_number 122
_symmetry_space_group_name_Hall 'I -4 2bw'
loop_
_atom_site_label
_atom_site_type_symbol
_atom_site_fract_x
_atom_site_fract_y
_atom_site_fract_z
Sr1 Sr 0.000 0.000 0.000
Mo1 Mo 0.000 0.000 0.500
Se1 Se 0.164 0.250 0.625
```


The following is a DFT calculation (PBE) of an optimized crystal structure of TaTiReTc.

Properties
Magnetization in Bohr magnetons per cell: 0.00
Total DFT energy (no corrections) in hartree per atom: -0.4090
Formation enthalpy at 0 K in eV per atom: -0.490

CIF file:
```
data_TaTiReTc
_chemical_formula_sum 'Ta4 Ti4 Re4 Tc4'
_cell_length_a 6.308
_cell_length_b 6.308
_cell_length_c 6.308
_cell_angle_alpha 90.00
_cell_angle_beta 90.00
_cell_angle_gamma 90.00
_symmetry_space_group_name_H-M 'F -4 3 m'
_symmetry_Int_Tables_number 216
_symmetry_space_group_name_Hall 'F -4 2 3'
loop_
_atom_site_label
_atom_site_type_symbol
_atom_site_fract_x
_atom_site_fract_y
_atom_site_fract_z
Ta1 Ta 0.000 0.000 0.000
Ti1 Ti 0.000 0.000 0.500
Re1 Re 0.250 0.250 0.250
Tc1 Tc 0.250 0.250 0.750
```